PBE Ca2H5Rh2, relaxed; space-group type = No. 123; calculated total energy = -4.509 eV per atom
1.0
3.6464 0.0000 0.0000
0.0000 3.6464 0.0000
0.0000 0.0000 7.1112
Ca H Rh
2 5 2
direct
0.0000 0.0000 0.0000
0.0000 0.0000 0.5000
0.0000 0.5000 0.2408
0.0000 0.5000 0.7592
0.5000 0.0000 0.2408
0.5000 0.0000 0.7592
0.5000 0.5000 0.5000
0.5000 0.5000 0.2439
0.5000 0.5000 0.7561